No. 1
This record from the Alexandria database describes crystalline EuTmCd at its relaxed geometry. The functional is PBE.

Computed properties:
Energy relative to the elements = -0.04 eV per atom
Density of states at the Fermi level = 3.1 states/eV/f.u.
Space group = No. 156
DFT total energy = -5.265 eV/atom

Lattice parameters (Å, degrees): 3.6948 5.3468 5.3468 120.00 90.00 90.00
Closest atoms and distances in Å follow each position.
Fractional positions:
Eu 0.9786 0.0000 0.0000  6 Cd 3.41-3.82, 6 Tm 3.52-3.68, 2 Eu 3.69
Tm 0.4357 0.3333 0.6667  3 Cd 3.14
Cd 0.5857 0.6667 0.3333  3 Tm 3.14, 3 Eu 3.41

No. 2
This record from the Alexandria database describes crystalline TbPr3Y8 at its relaxed geometry. The functional is PBE.

Computed properties:
Energy relative to the elements = 0.02 eV per atom
Density of states at the Fermi level = 17.8 states/eV/f.u.
Space group = No. 8
DFT total energy = -5.871 eV/atom

Lattice parameters (Å, degrees): 10.8013 7.2244 7.2245 89.99 120.09 120.09
Closest atoms and distances in Å follow each position.
Fractional positions:
Tb 0.9172 0.8759 0.8759  9 Y 3.58-3.62, 3 Pr 3.60
Pr 0.5838 0.8746 0.3761  1 Tb 3.60, 2 Pr 3.60-3.62, 9 Y 3.60-3.62
Pr 0.5838 0.3761 0.8746  1 Tb 3.60, 2 Pr 3.60-3.62, 9 Y 3.60-3.62
Pr 0.5844 0.3763 0.3763  1 Tb 3.60, 4 Pr 3.60-3.62, 7 Y 3.61-3.62
Y 0.2494 0.8740 0.8740  8 Y 3.59-3.62, 1 Tb 3.60, 3 Pr 3.61-3.62
Y 0.5830 0.8744 0.8744  1 Tb 3.60, 7 Y 3.60-3.61, 4 Pr 3.60-3.62
Y 0.2477 0.8728 0.3737  8 Y 3.58-3.62, 1 Tb 3.59, 3 Pr 3.62
Y 0.2477 0.3737 0.8728  8 Y 3.58-3.62, 1 Tb 3.59, 3 Pr 3.62
Y 0.2471 0.3733 0.3733  8 Y 3.57-3.62, 1 Tb 3.58, 3 Pr 3.61-3.62
Y 0.9186 0.3759 0.3759  9 Y 3.57-3.62, 3 Pr 3.61-3.62
Y 0.9186 0.3757 0.8773  7 Y 3.57-3.62, 2 Tb 3.60-3.62, 3 Pr 3.61
Y 0.9186 0.8773 0.3757  7 Y 3.57-3.62, 2 Tb 3.60-3.62, 3 Pr 3.61

No. 3
This record from the Alexandria database describes crystalline RbNaSn3 at its relaxed geometry. The functional is PBE.

Computed properties:
Energy relative to the elements = -0.13 eV per atom
Density of states at the Fermi level = 0.9 states/eV/f.u.
Space group = No. 63
DFT total energy = -2.990 eV/atom

Lattice parameters (Å, degrees): 6.3447 7.0385 8.2996 115.09 90.00 90.00
Closest atoms and distances in Å follow each position.
Fractional positions:
Rb 0.2500 0.4075 0.8150  8 Sn 3.78-3.97, 4 Na 4.10, 2 Rb 4.22
Rb 0.7500 0.5925 0.1850  8 Sn 3.78-3.97, 4 Na 4.10, 2 Rb 4.22
Na 0.0000 0.0000 0.0000  2 Na 3.17, 6 Sn 3.20-3.37
Na 0.5000 0.0000 0.0000  2 Na 3.17, 6 Sn 3.20-3.37
Sn 0.2500 0.8150 0.6299  2 Sn 2.97, 2 Na 3.20
Sn 0.7500 0.1850 0.3701  2 Sn 2.97, 2 Na 3.20
Sn 0.2500 0.3802 0.3448  2 Sn 2.92-2.97
Sn 0.7500 0.6198 0.6552  2 Sn 2.92-2.97
Sn 0.2500 0.9646 0.3448  2 Sn 2.92-2.97
Sn 0.7500 0.0354 0.6552  2 Sn 2.92-2.97

No. 4
This record from the Alexandria database describes crystalline Ce2GeRu at its relaxed geometry. The functional is PBE.

Computed properties:
Energy relative to the elements = -0.60 eV per atom
Density of states at the Fermi level = 7.3 states/eV/f.u.
Space group = No. 11
DFT total energy = -7.037 eV/atom

Lattice parameters (Å, degrees): 4.2713 5.3631 8.8408 114.22 90.00 90.00
Closest atoms and distances in Å follow each position.
Fractional positions:
Ce 0.7500 0.2301 0.4445  4 Ge 3.02-3.14, 3 Ru 3.15-3.18
Ce 0.2500 0.7699 0.5555  4 Ge 3.02-3.14, 3 Ru 3.15-3.18
Ce 0.2500 0.8226 0.0880  1 Ru 2.31
Ce 0.7500 0.1774 0.9120  1 Ru 2.31
Ge 0.7500 0.6144 0.2710  2 Ru 2.65
Ge 0.2500 0.3856 0.7290  2 Ru 2.65
Ru 0.2500 0.2939 0.1969  1 Ce 2.31
Ru 0.7500 0.7061 0.8031  1 Ce 2.31

No. 5
This record from the Alexandria database describes crystalline AgCl5 at its relaxed geometry. The functional is PBE.

Computed properties:
Formation energy (no corrections) = 0.118 eV/atom
Density of states at the Fermi level = 2.4 states/eV/f.u.
Space group = No. 65
DFT total energy = -1.896 eV/atom

Lattice parameters (Å, degrees): 3.7240 3.7225 11.7113 99.14 90.00 90.00
Closest atoms and distances in Å follow each position.
Fractional positions:
Ag 0.0000 0.0000 0.0000  4 Cl 2.63
Cl 0.5000 0.8374 0.6747  4 Cl 2.63
Cl 0.0000 0.6626 0.3253  4 Cl 2.63
Cl 0.5000 0.5000 0.0000  4 Ag 2.63
Cl 0.0000 0.3374 0.6747  4 Cl 2.63
Cl 0.5000 0.1626 0.3253  4 Cl 2.63

No. 6
This record from the Alexandria database describes crystalline Ba2AgHg3Pd4 at its relaxed geometry. The functional is PBE.

Computed properties:
Energy relative to the elements = -0.39 eV per atom
Density of states at the Fermi level = 3.4 states/eV/f.u.
Space group = No. 115
DFT total energy = -3.226 eV/atom

Lattice parameters (Å, degrees): 4.5423 4.5423 11.9660 90.00 90.00 90.00
Closest atoms and distances in Å follow each position.
Fractional positions:
Ba 0.5000 0.0000 0.2522  8 Pd 3.47-3.78, 6 Hg 3.51-3.74, 2 Ag 3.74
Ba 0.0000 0.5000 0.7478  8 Pd 3.47-3.78, 6 Hg 3.51-3.74, 2 Ag 3.74
Ag 0.5000 0.5000 0.5000  4 Pd 2.81
Hg 0.0000 0.0000 0.5000  4 Pd 2.81
Hg 0.5000 0.0000 0.8661  5 Pd 2.72-2.78
Hg 0.0000 0.5000 0.1339  5 Pd 2.72-2.78
Pd 0.5000 0.5000 0.0000  4 Hg 2.78
Pd 0.0000 0.0000 0.0000  4 Hg 2.78
Pd 0.5000 0.0000 0.6389  3 Hg 2.72-2.81, 2 Ag 2.81
Pd 0.0000 0.5000 0.3611  3 Hg 2.72-2.81, 2 Ag 2.81

Please write out number 3 again, unchanged.
This record from the Alexandria database describes crystalline RbNaSn3 at its relaxed geometry. The functional is PBE.

Computed properties:
Energy relative to the elements = -0.13 eV per atom
Density of states at the Fermi level = 0.9 states/eV/f.u.
Space group = No. 63
DFT total energy = -2.990 eV/atom

Lattice parameters (Å, degrees): 6.3447 7.0385 8.2996 115.09 90.00 90.00
Closest atoms and distances in Å follow each position.
Fractional positions:
Rb 0.2500 0.4075 0.8150  8 Sn 3.78-3.97, 4 Na 4.10, 2 Rb 4.22
Rb 0.7500 0.5925 0.1850  8 Sn 3.78-3.97, 4 Na 4.10, 2 Rb 4.22
Na 0.0000 0.0000 0.0000  2 Na 3.17, 6 Sn 3.20-3.37
Na 0.5000 0.0000 0.0000  2 Na 3.17, 6 Sn 3.20-3.37
Sn 0.2500 0.8150 0.6299  2 Sn 2.97, 2 Na 3.20
Sn 0.7500 0.1850 0.3701  2 Sn 2.97, 2 Na 3.20
Sn 0.2500 0.3802 0.3448  2 Sn 2.92-2.97
Sn 0.7500 0.6198 0.6552  2 Sn 2.92-2.97
Sn 0.2500 0.9646 0.3448  2 Sn 2.92-2.97
Sn 0.7500 0.0354 0.6552  2 Sn 2.92-2.97

Q: What is the DFT total energy in the second record?
A: -5.871 eV/atom